Entry 1:
{
  "formula": "TlVIrO6",
  "functional": "PBE with a Hubbard U",
  "state": "relaxed",
  "sg": "P312, No. 149",
  "crystal_system": "trigonal",
  "total_energy_ev_per_cell": -58.09,
  "cell": [[5.1622, 0.0000, 0.0000], [-2.5811, 4.4706, 0.0000], [0.0000, 0.0000, 4.9468]],
  "species": ["Tl", "V", "Ir", "O", "O", "O", "O", "O", "O"],
  "frac_coords": [[0.0000, 0.0000, 0.0000], [0.3333, 0.6667, 0.5000], [0.6667, 0.3333, 0.5000], [0.0102, 0.3749, 0.7157], [0.0102, 0.6353, 0.2843], [0.3647, 0.3749, 0.2843], [0.3647, 0.9898, 0.7157], [0.6251, 0.6353, 0.7157], [0.6251, 0.9898, 0.2843]]
}

***

Entry 2:
{
  "formula": "Tl2VIr3O12",
  "functional": "PBE with a Hubbard U",
  "state": "relaxed",
  "sg": "R-3m, No. 166",
  "crystal_system": "trigonal",
  "total_energy_ev_per_cell": -113.88,
  "cell": [[3.5769, 2.0651, 5.8278], [-3.5769, 2.0651, 5.8278], [0.0000, -4.1303, 5.8278]],
  "species": ["Tl", "Tl", "V", "Ir", "Ir", "Ir", "O", "O", "O", "O", "O", "O", "O", "O", "O", "O", "O", "O"],
  "frac_coords": [[0.1253, 0.1253, 0.1253], [0.8747, 0.8747, 0.8747], [0.5000, 0.5000, 0.5000], [0.0000, 0.5000, 0.5000], [0.5000, 0.0000, 0.5000], [0.5000, 0.5000, 0.0000], [0.1759, 0.1759, 0.5747], [0.1759, 0.5747, 0.1759], [0.1870, 0.5667, 0.5667], [0.4253, 0.8241, 0.8241], [0.4333, 0.4333, 0.8130], [0.4333, 0.8130, 0.4333], [0.5667, 0.1870, 0.5667], [0.5667, 0.5667, 0.1870], [0.5747, 0.1759, 0.1759], [0.8130, 0.4333, 0.4333], [0.8241, 0.4253, 0.8241], [0.8241, 0.8241, 0.4253]]
}